Record 1
{
  "formula": "LaNd8In2",
  "functional": "GGA-PBE",
  "state": "relaxed",
  "lattice": [[8.798, -3.416, 0.000], [8.798, 3.416, 0.000], [-1.415, 0.000, 6.100]],
  "species": ["La", "Nd", "Nd", "Nd", "Nd", "Nd", "Nd", "Nd", "Nd", "In", "In"],
  "fractional_positions": [[0.000, 0.000, 0.000], [0.088, 0.565, 0.890], [0.137, 0.137, 0.577], [0.435, 0.912, 0.110], [0.499, 0.499, 0.260], [0.501, 0.501, 0.740], [0.565, 0.088, 0.890], [0.863, 0.863, 0.423], [0.912, 0.435, 0.110], [0.322, 0.322, 0.395], [0.678, 0.678, 0.605]]
}

Record 2
{
  "formula": "La3NdIn2",
  "functional": "GGA-PBE",
  "state": "relaxed",
  "lattice": [[5.332, 0.000, 0.000], [0.000, 10.507, 0.000], [0.000, 0.000, 6.931]],
  "species": ["La", "La", "La", "La", "La", "La", "Nd", "Nd", "In", "In", "In", "In"],
  "fractional_positions": [[0.000, 0.052, 0.000], [0.000, 0.316, 0.389], [0.000, 0.684, 0.889], [0.000, 0.948, 0.500], [0.500, 0.179, 0.772], [0.500, 0.821, 0.272], [0.500, 0.456, 0.127], [0.500, 0.544, 0.627], [0.000, 0.370, 0.868], [0.000, 0.630, 0.368], [0.500, 0.139, 0.282], [0.500, 0.861, 0.782]]
}

Record 3
{
  "formula": "La3Nd12In",
  "functional": "GGA-PBE",
  "state": "relaxed",
  "lattice": [[5.136, 0.000, 0.000], [0.000, 5.136, 0.000], [0.000, 0.000, 20.930]],
  "species": ["La", "La", "La", "Nd", "Nd", "Nd", "Nd", "Nd", "Nd", "Nd", "Nd", "Nd", "Nd", "Nd", "Nd", "In"],
  "fractional_positions": [[0.000, 0.000, 0.000], [0.000, 0.000, 0.253], [0.000, 0.000, 0.747], [0.000, 0.500, 0.127], [0.000, 0.500, 0.382], [0.000, 0.500, 0.618], [0.000, 0.500, 0.873], [0.500, 0.000, 0.127], [0.500, 0.000, 0.382], [0.500, 0.000, 0.618], [0.500, 0.000, 0.873], [0.500, 0.500, 0.000], [0.500, 0.500, 0.256], [0.500, 0.500, 0.500], [0.500, 0.500, 0.744], [0.000, 0.000, 0.500]]
}

Record 4
{
  "formula": "La3Nd4In",
  "functional": "GGA-PBE",
  "state": "relaxed",
  "lattice": [[7.266, 0.000, 0.000], [0.000, 7.193, 0.000], [0.000, 0.000, 10.221]],
  "species": ["La", "La", "La", "La", "La", "La", "Nd", "Nd", "Nd", "Nd", "Nd", "Nd", "Nd", "Nd", "In", "In"],
  "fractional_positions": [[0.000, 0.001, 0.000], [0.249, 0.262, 0.252], [0.251, 0.738, 0.752], [0.500, 0.999, 0.500], [0.749, 0.738, 0.752], [0.751, 0.262, 0.252], [0.000, 0.000, 0.503], [0.000, 0.500, 0.502], [0.249, 0.736, 0.252], [0.251, 0.264, 0.752], [0.500, 0.000, 0.003], [0.500, 0.500, 0.002], [0.749, 0.264, 0.752], [0.751, 0.736, 0.252], [0.000, 0.500, 0.001], [0.500, 0.500, 0.501]]
}

Record 5
{
  "formula": "La3Nd7In",
  "functional": "GGA-PBE",
  "state": "relaxed",
  "lattice": [[6.415, -5.767, 0.000], [6.415, 5.767, 0.000], [-2.788, 0.000, 5.365]],
  "species": ["La", "La", "La", "Nd", "Nd", "Nd", "Nd", "Nd", "Nd", "Nd", "In"],
  "fractional_positions": [[0.000, 0.000, 0.000], [0.208, 0.792, 0.500], [0.792, 0.208, 0.500], [0.024, 0.599, 0.813], [0.220, 0.220, 0.712], [0.401, 0.976, 0.187], [0.500, 0.500, 0.500], [0.599, 0.024, 0.813], [0.780, 0.780, 0.288], [0.976, 0.401, 0.187], [0.500, 0.500, 0.000]]
}

Record 6
{
  "formula": "La4NdIn2",
  "functional": "GGA-PBE",
  "state": "relaxed",
  "lattice": [[5.546, 0.000, 0.000], [0.000, 12.912, 0.000], [-0.007, 0.000, 6.603]],
  "species": ["La", "La", "La", "La", "La", "La", "La", "La", "Nd", "Nd", "In", "In", "In", "In"],
  "fractional_positions": [[0.004, 0.173, 0.353], [0.004, 0.327, 0.853], [0.495, 0.652, 0.492], [0.495, 0.848, 0.992], [0.505, 0.152, 0.008], [0.505, 0.348, 0.508], [0.996, 0.673, 0.147], [0.996, 0.827, 0.647], [0.500, 0.000, 0.500], [0.500, 0.500, 0.000], [0.004, 0.063, 0.808], [0.004, 0.437, 0.308], [0.996, 0.563, 0.692], [0.996, 0.937, 0.192]]
}

Record 7
{
  "formula": "LaNd15In4",
  "functional": "GGA-PBE",
  "state": "relaxed",
  "lattice": [[4.995, 0.000, 0.000], [0.000, 4.995, 0.000], [0.000, 0.000, 25.606]],
  "species": ["La", "Nd", "Nd", "Nd", "Nd", "Nd", "Nd", "Nd", "Nd", "Nd", "Nd", "Nd", "Nd", "Nd", "Nd", "Nd", "In", "In", "In", "In"],
  "fractional_positions": [[0.000, 0.000, 0.000], [0.000, 0.500, 0.108], [0.000, 0.500, 0.304], [0.000, 0.500, 0.500], [0.000, 0.500, 0.696], [0.000, 0.500, 0.892], [0.500, 0.000, 0.108], [0.500, 0.000, 0.304], [0.500, 0.000, 0.500], [0.500, 0.000, 0.696], [0.500, 0.000, 0.892], [0.500, 0.500, 0.000], [0.500, 0.500, 0.207], [0.500, 0.500, 0.402], [0.500, 0.500, 0.598], [0.500, 0.500, 0.793], [0.000, 0.000, 0.207], [0.000, 0.000, 0.402], [0.000, 0.000, 0.598], [0.000, 0.000, 0.793]]
}

Record 8
{
  "formula": "La2Nd6In",
  "functional": "GGA-PBE",
  "state": "relaxed",
  "lattice": [[10.140, 0.000, 0.000], [0.000, 10.687, 0.000], [0.000, 0.000, 5.718]],
  "species": ["La", "La", "La", "La", "Nd", "Nd", "Nd", "Nd", "Nd", "Nd", "Nd", "Nd", "Nd", "Nd", "Nd", "Nd", "In", "In"],
  "fractional_positions": [[0.189, 0.249, 0.000], [0.311, 0.749, 0.500], [0.689, 0.251, 0.500], [0.811, 0.751, 0.000], [0.016, 0.187, 0.500], [0.140, 0.602, 0.000], [0.183, 0.926, 0.000], [0.317, 0.426, 0.500], [0.360, 0.102, 0.500], [0.484, 0.687, 0.000], [0.516, 0.313, 0.000], [0.640, 0.898, 0.500], [0.683, 0.574, 0.500], [0.817, 0.074, 0.000], [0.860, 0.398, 0.000], [0.984, 0.813, 0.500], [0.000, 0.500, 0.500], [0.500, 0.000, 0.000]]
}

Record 9
{
  "formula": "La4NdIn3",
  "functional": "GGA-PBE",
  "state": "relaxed",
  "lattice": [[11.552, 0.000, 0.000], [0.000, 7.209, 0.000], [0.000, 0.000, 6.031]],
  "species": ["La", "La", "La", "La", "La", "La", "La", "La", "Nd", "Nd", "In", "In", "In", "In", "In", "In"],
  "fractional_positions": [[0.000, 0.241, 0.000], [0.000, 0.759, 0.000], [0.250, 0.238, 0.381], [0.250, 0.762, 0.381], [0.500, 0.241, 0.000], [0.500, 0.759, 0.000], [0.750, 0.238, 0.619], [0.750, 0.762, 0.619], [0.000, 0.500, 0.500], [0.500, 0.500, 0.500], [0.000, 0.000, 0.500], [0.250, 0.000, 0.870], [0.250, 0.500, 0.864], [0.500, 0.000, 0.500], [0.750, 0.000, 0.130], [0.750, 0.500, 0.136]]
}

Record 10
{
  "formula": "LaNd2In",
  "functional": "GGA-PBE",
  "state": "relaxed",
  "lattice": [[0.000, 3.977, 3.977], [3.977, 0.000, 3.977], [3.977, 3.977, 0.000]],
  "species": ["La", "Nd", "Nd", "In"],
  "fractional_positions": [[0.000, 0.000, 0.000], [0.250, 0.250, 0.250], [0.750, 0.750, 0.750], [0.500, 0.500, 0.500]]
}

Record 11
{
  "formula": "La2NdIn3",
  "functional": "GGA-PBE",
  "state": "relaxed",
  "lattice": [[3.919, 0.000, 0.000], [0.000, 3.919, 0.000], [0.000, 0.000, 11.847]],
  "species": ["La", "La", "Nd", "In", "In", "In"],
  "fractional_positions": [[0.000, 0.000, 0.169], [0.000, 0.000, 0.831], [0.000, 0.000, 0.500], [0.500, 0.500, 0.000], [0.500, 0.500, 0.340], [0.500, 0.500, 0.660]]
}

Record 12
{
  "formula": "La2Nd5In5",
  "functional": "GGA-PBE",
  "state": "relaxed",
  "lattice": [[7.899, -2.270, 0.000], [7.899, 2.270, 0.000], [-5.302, 0.000, 10.072]],
  "species": ["La", "La", "Nd", "Nd", "Nd", "Nd", "Nd", "In", "In", "In", "In", "In"],
  "fractional_positions": [[0.160, 0.160, 0.494], [0.840, 0.840, 0.506], [0.000, 0.000, 0.000], [0.076, 0.076, 0.755], [0.240, 0.240, 0.233], [0.760, 0.760, 0.767], [0.924, 0.924, 0.245], [0.327, 0.327, 0.003], [0.409, 0.409, 0.748], [0.500, 0.500, 0.500], [0.591, 0.591, 0.252], [0.673, 0.673, 0.997]]
}

Record 13
{
  "formula": "La12NdIn6",
  "functional": "GGA-PBE",
  "state": "relaxed",
  "lattice": [[5.993, 3.460, 4.928], [-5.993, 3.460, 4.928], [0.000, -6.921, 4.928]],
  "species": ["La", "La", "La", "La", "La", "La", "La", "La", "La", "La", "La", "La", "Nd", "In", "In", "In", "In", "In", "In"],
  "fractional_positions": [[0.028, 0.317, 0.935], [0.065, 0.972, 0.683], [0.110, 0.348, 0.446], [0.317, 0.935, 0.028], [0.348, 0.446, 0.110], [0.446, 0.110, 0.348], [0.554, 0.890, 0.652], [0.652, 0.554, 0.890], [0.683, 0.065, 0.972], [0.890, 0.652, 0.554], [0.935, 0.028, 0.317], [0.972, 0.683, 0.065], [0.500, 0.500, 0.500], [0.233, 0.756, 0.379], [0.244, 0.621, 0.767], [0.379, 0.233, 0.756], [0.621, 0.767, 0.244], [0.756, 0.379, 0.233], [0.767, 0.244, 0.621]]
}

Record 14
{
  "formula": "La12Nd7In",
  "functional": "GGA-PBE",
  "state": "relaxed",
  "lattice": [[-5.876, 5.876, 5.876], [5.876, -5.876, 5.876], [5.876, 5.876, -5.876]],
  "species": ["La", "La", "La", "La", "La", "La", "La", "La", "La", "La", "La", "La", "Nd", "Nd", "Nd", "Nd", "Nd", "Nd", "Nd", "In"],
  "fractional_positions": [[0.000, 0.238, 0.762], [0.000, 0.762, 0.238], [0.238, 0.000, 0.762], [0.238, 0.238, 0.475], [0.238, 0.475, 0.238], [0.238, 0.762, 0.000], [0.475, 0.238, 0.238], [0.525, 0.762, 0.762], [0.762, 0.000, 0.238], [0.762, 0.238, 0.000], [0.762, 0.525, 0.762], [0.762, 0.762, 0.525], [0.000, 0.000, 0.500], [0.000, 0.500, 0.000], [0.000, 0.500, 0.500], [0.500, 0.000, 0.000], [0.500, 0.000, 0.500], [0.500, 0.500, 0.000], [0.500, 0.500, 0.500], [0.000, 0.000, 0.000]]
}

Record 15
{
  "formula": "La15Nd2In2",
  "functional": "GGA-PBE",
  "state": "relaxed",
  "lattice": [[5.386, 3.110, 6.500], [-5.386, 3.110, 6.500], [0.000, -6.219, 6.500]],
  "species": ["La", "La", "La", "La", "La", "La", "La", "La", "La", "La", "La", "La", "La", "La", "La", "Nd", "Nd", "In", "In"],
  "fractional_positions": [[0.000, 0.000, 0.500], [0.000, 0.310, 0.690], [0.000, 0.500, 0.000], [0.000, 0.690, 0.310], [0.178, 0.597, 0.597], [0.310, 0.000, 0.690], [0.310, 0.690, 0.000], [0.403, 0.403, 0.822], [0.403, 0.822, 0.403], [0.500, 0.000, 0.000], [0.597, 0.178, 0.597], [0.597, 0.597, 0.178], [0.690, 0.000, 0.310], [0.690, 0.310, 0.000], [0.822, 0.403, 0.403], [0.085, 0.085, 0.085], [0.915, 0.915, 0.915], [0.280, 0.280, 0.280], [0.720, 0.720, 0.720]]
}

Record 16
{
  "formula": "LaNdIn",
  "functional": "GGA-PBE",
  "state": "relaxed",
  "lattice": [[4.651, 0.000, 0.000], [0.000, 4.928, 0.000], [0.000, 0.000, 8.797]],
  "species": ["La", "La", "Nd", "Nd", "In", "In"],
  "fractional_positions": [[0.250, 0.250, 0.141], [0.750, 0.750, 0.859], [0.250, 0.750, 0.530], [0.750, 0.250, 0.470], [0.250, 0.250, 0.766], [0.750, 0.750, 0.234]]
}

Record 17
{
  "formula": "La4Nd2In",
  "functional": "GGA-PBE",
  "state": "relaxed",
  "lattice": [[6.538, 0.000, 0.000], [0.000, 12.784, 0.000], [-3.254, 0.000, 5.726]],
  "species": ["La", "La", "La", "La", "La", "La", "La", "La", "Nd", "Nd", "Nd", "Nd", "In", "In"],
  "fractional_positions": [[0.089, 0.171, 0.332], [0.089, 0.329, 0.832], [0.396, 0.747, 0.687], [0.396, 0.753, 0.187], [0.604, 0.247, 0.813], [0.604, 0.253, 0.313], [0.911, 0.671, 0.168], [0.911, 0.829, 0.668], [0.185, 0.055, 0.871], [0.185, 0.445, 0.371], [0.815, 0.555, 0.629], [0.815, 0.945, 0.129], [0.500, 0.000, 0.500], [0.500, 0.500, 0.000]]
}

Record 18
{
  "formula": "La2Nd3In2",
  "functional": "GGA-PBE",
  "state": "relaxed",
  "lattice": [[5.985, 0.000, 0.000], [-0.526, 6.197, 0.000], [-1.992, -1.330, 5.946]],
  "species": ["La", "La", "Nd", "Nd", "Nd", "In", "In"],
  "fractional_positions": [[0.229, 0.350, 0.434], [0.771, 0.650, 0.566], [0.114, 0.808, 0.177], [0.500, 0.500, 0.000], [0.886, 0.192, 0.823], [0.341, 0.926, 0.746], [0.659, 0.074, 0.254]]
}

Record 19
{
  "formula": "La6Nd3In",
  "functional": "GGA-PBE",
  "state": "relaxed",
  "lattice": [[5.024, -10.645, 0.000], [5.024, 10.645, 0.000], [0.000, 0.000, 6.526]],
  "species": ["La", "La", "La", "La", "La", "La", "La", "La", "La", "La", "La", "La", "Nd", "Nd", "Nd", "Nd", "Nd", "Nd", "In", "In"],
  "fractional_positions": [[0.017, 0.983, 0.500], [0.095, 0.531, 0.023], [0.254, 0.373, 0.239], [0.292, 0.708, 0.478], [0.373, 0.254, 0.739], [0.469, 0.905, 0.023], [0.531, 0.095, 0.523], [0.627, 0.746, 0.239], [0.708, 0.292, 0.978], [0.746, 0.627, 0.739], [0.905, 0.469, 0.523], [0.983, 0.017, 0.000], [0.038, 0.296, 0.671], [0.296, 0.038, 0.171], [0.418, 0.582, 0.766], [0.582, 0.418, 0.266], [0.704, 0.962, 0.671], [0.962, 0.704, 0.171], [0.156, 0.844, 0.728], [0.844, 0.156, 0.228]]
}

Number 1: total DFT energy (no corrections) -49.646 eV for the cell shown, energy of formation from the pure elements -1.10 eV/f.u.. Number 2: total DFT energy (no corrections) -54.457 eV for the cell shown, energy of formation from the pure elements -2.20 eV/f.u.. Number 3: total DFT energy (no corrections) -75.458 eV for the cell shown, energy of formation from the pure elements -0.72 eV/f.u.. Number 4: total DFT energy (no corrections) -74.896 eV for the cell shown, energy of formation from the pure elements -0.86 eV/f.u.. Number 5: total DFT energy (no corrections) -49.474 eV for the cell shown, energy of formation from the pure elements 1.42 eV/f.u.. Number 6: total DFT energy (no corrections) -63.332 eV for the cell shown, energy of formation from the pure elements -1.71 eV/f.u.. Number 7: total DFT energy (no corrections) -91.559 eV for the cell shown, energy of formation from the pure elements -4.16 eV/f.u.. Number 8: total DFT energy (no corrections) -83.200 eV for the cell shown, energy of formation from the pure elements -0.40 eV/f.u.. Number 9: total DFT energy (no corrections) -70.815 eV for the cell shown, energy of formation from the pure elements -2.71 eV/f.u.. Number 10: total DFT energy (no corrections) -17.715 eV for the cell shown, energy of formation from the pure elements -0.51 eV/f.u.. Number 11: total DFT energy (no corrections) -25.897 eV for the cell shown, energy of formation from the pure elements -3.06 eV/f.u.. Number 12: total DFT energy (no corrections) -51.776 eV for the cell shown, energy of formation from the pure elements -4.39 eV/f.u.. Number 13: total DFT energy (no corrections) -85.428 eV for the cell shown, energy of formation from the pure elements -5.10 eV/f.u.. Number 14: total DFT energy (no corrections) -85.283 eV for the cell shown, energy of formation from the pure elements 9.96 eV/f.u.. Number 15: total DFT energy (no corrections) -85.377 eV for the cell shown, energy of formation from the pure elements 3.55 eV/f.u.. Number 16: total DFT energy (no corrections) -26.717 eV for the cell shown, energy of formation from the pure elements -0.92 eV/f.u.. Number 17: total DFT energy (no corrections) -63.980 eV for the cell shown, energy of formation from the pure elements -0.01 eV/f.u.. Number 18: total DFT energy (no corrections) -31.351 eV for the cell shown, energy of formation from the pure elements -1.72 eV/f.u.. Number 19: total DFT energy (no corrections) -93.653 eV for the cell shown, energy of formation from the pure elements -0.22 eV/f.u..